(1)
This record from the Open Quantum Materials Database describes a relaxed structure of CdMoPd2. The functional is GGA-PBE.

abc: 4.529 4.529 4.529
angles: 60.00 60.00 60.00
Sites, in units of the cell vectors:
Cd 0.750 0.750 0.750
Pd 0.250 0.250 0.250
Pd 0.500 0.500 0.500
Mo 0.000 0.000 0.000



(2)
This record from the Open Quantum Materials Database describes a relaxed structure of CdMoPd6. The functional is GGA-PBE.

abc: 3.975 3.975 8.008
angles: 90.00 90.00 90.00
Each line ends with the local moment (μB).
Sites, in units of the cell vectors:
Pd 0.500 0.000 0.264  0.01
Pd 0.500 0.000 0.736  0.01
Pd 0.000 0.500 0.736  0.01
Pd 0.000 0.500 0.264  0.01
Pd 0.500 0.500 0.500  0.00
Pd 0.500 0.500 0.000  0.00
Cd 0.000 0.000 0.000  0.00
Mo 0.000 0.000 0.500  0.30



(3)
This record from the Open Quantum Materials Database describes a relaxed structure of PrCdMo. The functional is GGA-PBE.

Results
Energy above the lowest structure with this stoichiometry (eV/atom): 0.000

abc: 4.900 4.900 4.900
angles: 60.00 60.00 60.00
Sites, in units of the cell vectors:
Cd 0.250 0.250 0.250
Pr 0.750 0.750 0.750
Mo 0.000 0.000 0.000



(4)
This record from the Open Quantum Materials Database describes a relaxed structure of PrCdMo. The functional is GGA-PBE.

Results
Energy above the lowest structure with this stoichiometry (eV/atom): 0.425

abc: 4.911 4.911 4.911
angles: 60.00 60.00 60.00
Sites, in units of the cell vectors:
Mo 0.750 0.750 0.750
Cd 0.250 0.250 0.250
Pr 0.000 0.000 0.000



Per-record calculated formation energy, eV per atom: 0.2086 -0.2075 0.8178 1.2424